No. 1
# Np2AgCl11

An optimized crystal structure of Np2AgCl11 (PBE, Alexandria via LeMat-Bulk).

Cell: 11.562 11.562 11.562 Å, 126.99 97.03 106.01°
Sites, in units of the cell vectors:
Np 0.081 0.230 0.312
Np 0.419 0.730 0.149
Np 0.581 0.270 0.851
Np 0.919 0.770 0.688
Ag 0.250 0.750 0.500
Ag 0.750 0.250 0.500
Cl 0.000 0.000 0.000
Cl 0.050 0.020 0.326
Cl 0.100 0.438 0.284
Cl 0.154 0.815 0.716
Cl 0.158 0.440 0.598
Cl 0.194 0.520 0.970
Cl 0.306 0.276 0.326
Cl 0.342 0.940 0.282
Cl 0.346 0.062 0.661
Cl 0.400 0.685 0.339
Cl 0.450 0.776 0.970
Cl 0.500 0.500 0.000
Cl 0.550 0.224 0.030
Cl 0.600 0.315 0.661
Cl 0.654 0.938 0.339
Cl 0.658 0.060 0.718
Cl 0.694 0.724 0.674
Cl 0.806 0.480 0.030
Cl 0.842 0.560 0.402
Cl 0.846 0.185 0.284
Cl 0.900 0.562 0.716
Cl 0.950 0.980 0.674

Summary:
- Crystal system: orthorhombic
- Energy: -4.785 eV per atom
- Space-group type: Ibam (72)

***

No. 2
# BaSr2Cu

An optimized crystal structure of BaSr2Cu (PBE, Alexandria via LeMat-Bulk).

Cell: 7.481 12.777 4.077 Å, 90.00 117.22 90.00°
Sites, in units of the cell vectors:
Ba 0.000 0.000 0.000
Ba 0.500 0.500 0.000
Sr 0.250 0.250 0.500
Sr 0.250 0.750 0.500
Sr 0.750 0.250 0.500
Sr 0.750 0.750 0.500
Cu 0.000 0.500 0.000
Cu 0.500 0.000 0.000

Summary:
- Crystal system: monoclinic
- Energy above the lowest structure with this stoichiometry: 0.332 eV/atom
- ΔH_f (0 K): 7.60 kcal/mol of atoms
- Space-group type: C2/m (12)

***

No. 3
# Ba2ReBi

An optimized crystal structure of Ba2ReBi (PBE, Alexandria via LeMat-Bulk).

Cell: 11.846 11.846 5.314 Å, 90.00 90.00 90.00°
Sites, in units of the cell vectors:
Ba 0.076 0.250 0.125
Ba 0.250 0.576 0.375
Ba 0.250 0.924 0.875
Ba 0.424 0.250 0.625
Ba 0.576 0.750 0.625
Ba 0.750 0.076 0.875
Ba 0.750 0.424 0.375
Ba 0.924 0.750 0.125
Re 0.000 0.000 0.000
Re 0.000 0.500 0.250
Re 0.500 0.000 0.750
Re 0.500 0.500 0.500
Bi 0.000 0.000 0.500
Bi 0.000 0.500 0.750
Bi 0.500 0.000 0.250
Bi 0.500 0.500 0.000

Summary:
- Crystal system: tetragonal
- ΔH_f (0 K): 11.25 kcal/mol of atoms
- Space-group type: I-42d (122)

***

No. 4
# La3CuAg2

An optimized crystal structure of La3CuAg2 (PBE, Alexandria via LeMat-Bulk).

Cell: 5.375 16.060 3.728 Å, 90.00 90.00 90.00°
Sites, in units of the cell vectors:
La 0.000 0.000 0.000
La 0.000 0.344 0.000
La 0.000 0.656 0.000
La 0.500 0.156 0.000
La 0.500 0.500 0.000
La 0.500 0.844 0.000
Cu 0.000 0.500 0.500
Cu 0.500 0.000 0.500
Ag 0.000 0.175 0.500
Ag 0.000 0.825 0.500
Ag 0.500 0.325 0.500
Ag 0.500 0.675 0.500

Summary:
- Crystal system: orthorhombic
- Energy above the lowest structure with this stoichiometry: 0.005 eV/atom
- ΔH_f (0 K): -4.89 kcal/mol of atoms
- Space-group type: Cmmm (65)

***

No. 5
# NpCu3Br8

An optimized crystal structure of NpCu3Br8 (PBE, Alexandria via LeMat-Bulk).

Cell: 8.294 8.294 8.032 Å, 118.29 118.29 53.01°
Sites, in units of the cell vectors:
Np 0.000 0.000 0.000
Cu 0.000 0.500 0.000
Cu 0.500 0.000 0.000
Cu 0.500 0.500 0.000
Br 0.222 0.222 0.216
Br 0.260 0.260 0.819
Br 0.260 0.730 0.755
Br 0.270 0.740 0.245
Br 0.730 0.260 0.755
Br 0.740 0.270 0.245
Br 0.740 0.740 0.181
Br 0.778 0.778 0.784

Summary:
- Crystal system: monoclinic
- Energy: -3.868 eV per atom
- Space-group type: C2/m (12)

***

No. 6
# CaY2Zn2

An optimized crystal structure of CaY2Zn2 (PBE, Alexandria via LeMat-Bulk).

Cell: 13.551 13.551 5.256 Å, 90.00 90.00 164.59°
Sites, in units of the cell vectors:
Ca 0.142 0.858 0.750
Ca 0.858 0.142 0.250
Y 0.047 0.953 0.250
Y 0.230 0.770 0.250
Y 0.770 0.230 0.750
Y 0.953 0.047 0.750
Zn 0.360 0.640 0.750
Zn 0.456 0.544 0.250
Zn 0.544 0.456 0.750
Zn 0.640 0.360 0.250

Summary:
- Crystal system: orthorhombic
- Energy above the lowest structure with this stoichiometry: 0.000 eV/atom
- ΔH_f (0 K): -5.37 kcal/mol of atoms
- Space-group type: Cmcm (63)

***

No. 7
# Ac2Si4AgPd3

An optimized crystal structure of Ac2Si4AgPd3 (PBE, Alexandria via LeMat-Bulk).

Cell: 4.402 4.402 10.261 Å, 90.00 90.00 90.00°
Sites, in units of the cell vectors:
Ac 0.000 0.500 0.246
Ac 0.500 0.000 0.754
Si 0.000 0.000 0.000
Si 0.000 0.500 0.636
Si 0.500 0.000 0.364
Si 0.500 0.500 0.000
Ag 0.000 0.000 0.500
Pd 0.000 0.500 0.884
Pd 0.500 0.000 0.116
Pd 0.500 0.500 0.500

Summary:
- Crystal system: tetragonal
- Energy: -5.559 eV per atom
- Space-group type: P-4m2 (115)

***

No. 8
# Ta2BeSi

An optimized crystal structure of Ta2BeSi (PBE, Alexandria via LeMat-Bulk).

Cell: 2.868 2.868 25.858 Å, 90.00 90.00 120.00°
Sites, in units of the cell vectors:
Ta 0.000 0.000 0.248
Ta 0.000 0.000 0.752
Ta 0.333 0.667 0.418
Ta 0.333 0.667 0.915
Ta 0.667 0.333 0.085
Ta 0.667 0.333 0.582
Be 0.000 0.000 0.500
Be 0.333 0.667 0.167
Be 0.667 0.333 0.833
Si 0.000 0.000 0.000
Si 0.333 0.667 0.667
Si 0.667 0.333 0.333

Summary:
- Crystal system: trigonal
- Energy above the lowest structure with this stoichiometry: 0.726 eV/atom
- Space-group type: R-3m (166)

***

Table of V (Å³/atom), in record order: 39.27, 43.31, 46.61, 26.82, 31.20, 25.65, 19.88, 15.35